(1)
An optimized crystal structure of AlIr4, computed with PBE-GGA.

a b c (Å): 4.7254 4.7254 4.7254
angles (deg): 99.70 99.70 131.53
Closest atoms and distances in Å follow each position.
Element x y z (fractional)
Al 0.0000 0.0000 0.0000  12 Ir 2.70-2.75
Ir 0.1966 0.6021 0.7987  9 Ir 2.70-2.76, 3 Al 2.70-2.75
Ir 0.3979 0.1966 0.5944  9 Ir 2.70-2.76, 3 Al 2.70-2.75
Ir 0.6021 0.8034 0.4056  9 Ir 2.70-2.76, 3 Al 2.70-2.75
Ir 0.8034 0.3979 0.2013  9 Ir 2.70-2.76, 3 Al 2.70-2.75

Output
Energy   -0.299 hartree per atom
D(E_F)   0.83 states/eV per atom
Total magnetization   0.000 μB per cell
Space-group type   No. 87

***

(2)
An optimized crystal structure of MgCr2PtRh, computed with PBE-GGA.

a b c (Å): 4.3182 4.3182 4.4148
angles (deg): 90.00 90.00 90.00
Closest atoms and distances in Å follow each position.
Element x y z (fractional)
Mg 0.0000 0.0000 0.0000  4 Cr 2.16, 2 Pt 2.21
Cr 0.0000 0.5000 0.0000  2 Mg 2.16
Cr 0.5000 0.0000 0.0000  2 Mg 2.16
Pt 0.0000 0.0000 0.5000  2 Mg 2.21
Rh 0.5000 0.5000 0.5000  4 Pt 3.05, 8 Cr 3.09

Output
Energy   -0.185 hartree per atom
D(E_F)   1.65 states/eV per atom
Total magnetization   0.391 μB per cell
Space-group type   No. 123

***

(3)
An optimized crystal structure of LiSi2Tc, computed with PBE-GGA.

a b c (Å): 8.2585 8.2585 8.2585
angles (deg): 20.49 20.49 20.49
Closest atoms and distances in Å follow each position.
Element x y z (fractional)
Li 0.0000 0.0000 0.0000  6 Si 2.77, 6 Li 2.94
Si 0.2428 0.2428 0.2428  3 Tc 2.51, 3 Li 2.77
Si 0.7572 0.7572 0.7572  3 Tc 2.51, 3 Li 2.77
Tc 0.5000 0.5000 0.5000  6 Si 2.51

Output
Energy   -0.219 hartree per atom
ΔE_f (raw)   -166 meV/atom
D(E_F)   0.45 states/eV per atom
Total magnetization   0.000 μB per cell
Space-group type   No. 166

***

(4)
An optimized crystal structure of Th2BC3, computed with PBE-GGA.

a b c (Å): 6.4730 6.4730 6.4730
angles (deg): 146.46 143.69 50.26
Closest atoms and distances in Å follow each position.
Element x y z (fractional)
Th 0.1460 0.1460 0.0000  7 C 2.53-2.75
Th 0.8540 0.8540 0.0000  7 C 2.53-2.75
B 0.5000 0.5000 0.0000  2 C 1.59
C 0.0000 0.5000 0.5000  2 B 2.02
C 0.3645 0.3645 0.0000  1 B 1.59
C 0.6355 0.6355 0.0000  1 B 1.59

Output
Energy   -0.295 hartree per atom
D(E_F)   0.46 states/eV per atom
Total magnetization   0.000 μB per cell
Space-group type   No. 71

***

(5)
An optimized crystal structure of DyHfPt2, computed with PBE-GGA.

a b c (Å): 3.3626 3.3626 7.0884
angles (deg): 90.00 90.00 90.00
Closest atoms and distances in Å follow each position.
Element x y z (fractional)
Dy 0.0000 0.0000 0.0000  8 Pt 3.12, 4 Dy 3.36
Hf 0.0000 0.0000 0.5000  8 Pt 2.82
Pt 0.5000 0.5000 0.2852  4 Hf 2.82, 1 Pt 3.04, 4 Dy 3.12
Pt 0.5000 0.5000 0.7148  4 Hf 2.82, 1 Pt 3.04, 4 Dy 3.12

Output
Energy   -0.286 hartree per atom
D(E_F)   0.83 states/eV per atom
Total magnetization   0.000 μB per cell
Space-group type   No. 123

***

(6)
An optimized crystal structure of Nb3Mo4, computed with PBE-GGA.

a b c (Å): 7.2018 7.2018 7.2018
angles (deg): 113.55 113.55 113.55
Closest atoms and distances in Å follow each position.
Element x y z (fractional)
Nb 0.0712 0.7855 0.6431  8 Mo 2.78-2.81
Nb 0.2145 0.3569 0.9288  8 Mo 2.78-2.81
Nb 0.3569 0.9288 0.2145  8 Mo 2.78-2.81
Nb 0.6431 0.0712 0.7855  8 Mo 2.78-2.81
Nb 0.7855 0.6431 0.0712  8 Mo 2.78-2.81
Nb 0.9288 0.2145 0.3569  8 Mo 2.78-2.81
Mo 0.0000 0.0000 0.0000  6 Nb 2.79, 2 Mo 2.80
Mo 0.1449 0.5703 0.2868  1 Mo 2.77, 7 Nb 2.78-2.81
Mo 0.2868 0.1449 0.5703  1 Mo 2.77, 7 Nb 2.78-2.81
Mo 0.4297 0.7132 0.8551  1 Mo 2.77, 7 Nb 2.78-2.81
Mo 0.5000 0.5000 0.5000  8 Mo 2.77-2.80
Mo 0.5703 0.2868 0.1449  1 Mo 2.77, 7 Nb 2.78-2.81
Mo 0.7132 0.8551 0.4297  1 Mo 2.77, 7 Nb 2.78-2.81
Mo 0.8551 0.4297 0.7132  1 Mo 2.77, 7 Nb 2.78-2.81

Output
Energy   -0.391 hartree per atom
D(E_F)   0.57 states/eV per atom
Total magnetization   0.000 μB per cell
Space-group type   No. 148